(1)
# CaCuP2O6

A relaxed CaCuP2O6 crystal (PBE-GGA, Alexandria via LeMat-Bulk).

The structure in POSCAR format:
```
CaCuP2O6
1.0
2.6177 1.5113 5.5230
-2.6177 1.5113 5.5230
0.0000 -3.0226 5.5230
Ca Cu P O
1 1 2 6
direct
0.0000 0.0000 0.0000
0.5000 0.5000 0.5000
0.2615 0.2615 0.2615
0.7385 0.7385 0.7385
0.0514 0.7425 0.4738
0.2575 0.5262 0.9486
0.4738 0.0514 0.7425
0.5262 0.9486 0.2575
0.7425 0.4738 0.0514
0.9486 0.2575 0.5262
```

Properties
formation energy without anion corrections	-1791	meV per atom
raw total energy	-6.46	eV/atom
crystal system	trigonal



(2)
# Ac2SiAgO6

A relaxed Ac2SiAgO6 crystal (PBE-GGA, Alexandria via LeMat-Bulk).

The structure in POSCAR format:
```
Ac2SiAgO6
1.0
5.6113 0.0000 0.0000
0.0000 5.6113 0.0000
0.0000 0.0000 4.4223
Ac Si Ag O
2 1 1 6
direct
0.0000 0.5000 0.0000
0.5000 0.0000 0.0000
0.0000 0.0000 0.5405
0.5000 0.5000 0.5440
0.0000 0.0000 0.1635
0.2162 0.2162 0.6384
0.2162 0.7838 0.6384
0.5000 0.5000 0.0568
0.7838 0.2162 0.6384
0.7838 0.7838 0.6384
```

Properties
formation energy without anion corrections	-2454	meV per atom
raw total energy	-7.08	eV/atom
crystal system	tetragonal



(3)
# Pm2Co3Sn5

A relaxed Pm2Co3Sn5 crystal (PBE-GGA, Alexandria via LeMat-Bulk).

The structure in POSCAR format:
```
Pm2Co3Sn5
1.0
-5.2373 6.3464 3.1497
5.2373 -6.3464 3.1497
5.2373 6.3464 -3.1497
Pm Co Sn
4 6 10
direct
0.1476 0.2326 0.3801
0.3524 0.7326 0.0850
0.6476 0.2674 0.9150
0.8524 0.7674 0.6199
0.1409 0.8978 0.0387
0.2500 0.7500 0.5000
0.3591 0.3978 0.7569
0.6409 0.6022 0.2431
0.7500 0.2500 0.5000
0.8591 0.1022 0.9613
0.0250 0.7500 0.2750
0.0836 0.6720 0.7555
0.2500 0.2500 0.0000
0.4164 0.1720 0.5884
0.4750 0.7500 0.7250
0.5250 0.2500 0.2750
0.5836 0.8280 0.4116
0.7500 0.7500 0.0000
0.9164 0.3280 0.2445
0.9750 0.2500 0.7250
```

Properties
ΔE_f	-0.38	eV per atom
raw total energy	-5.46	eV/atom
crystal system	orthorhombic
relative energy among the computed polymorphs	2	kJ/mol of formula units



(4)
# Cs2CdNiCl6

A relaxed Cs2CdNiCl6 crystal (PBE-GGA, Alexandria via LeMat-Bulk).

The structure in POSCAR format:
```
Cs2CdNiCl6
1.0
3.6847 2.1274 12.1639
-3.6847 2.1274 12.1639
0.0000 -4.2547 12.1639
Cs Cd Ni Cl
4 2 2 12
direct
0.1257 0.1257 0.1257
0.2905 0.2905 0.2905
0.7095 0.7095 0.7095
0.8743 0.8743 0.8743
0.4107 0.4107 0.4107
0.5893 0.5893 0.5893
0.0000 0.0000 0.0000
0.5000 0.5000 0.5000
0.1537 0.6136 0.6136
0.1959 0.1959 0.7248
0.1959 0.7248 0.1959
0.2752 0.8041 0.8041
0.3864 0.3864 0.8463
0.3864 0.8463 0.3864
0.6136 0.1537 0.6136
0.6136 0.6136 0.1537
0.7248 0.1959 0.1959
0.8041 0.2752 0.8041
0.8041 0.8041 0.2752
0.8463 0.3864 0.3864
```

Properties
formation energy without anion corrections	-1308	meV per atom
raw total energy	-3.26	eV/atom
crystal system	trigonal